Entry 1:
# SiSnSbC2 PBE-GGA optimized geometry
# Raw total energy = -23.543 eV/cell
# Formation energy (no corrections) = 1.691 eV/atom
data_SiSnSbC2
_space_group_name_H-M_alt 'P 4/m m m'
_space_group_IT_number 123
_space_group_name_Hall '-P 4 2'
_cell_length_a 3.9674
_cell_length_b 3.9674
_cell_length_c 5.5462
_cell_angle_alpha 90.00
_cell_angle_beta 90.00
_cell_angle_gamma 90.00
loop_
_atom_site_label
_atom_site_fract_x
_atom_site_fract_y
_atom_site_fract_z
_atom_site_occupancy
Si1 0.0000 0.0000 0.0000 1
Sn1 0.0000 0.0000 0.5000 1
Sb1 0.5000 0.5000 0.5000 1
C1 0.0000 0.5000 0.0000 1

Entry 2:
# ReHg2Sb PBE-GGA optimized geometry
# Raw total energy = -30.140 eV/cell
# Formation energy (no corrections) = 0.526 eV/atom
data_ReHg2Sb
_space_group_name_H-M_alt 'I m m 2'
_space_group_IT_number 44
_cell_length_a 2.9722
_cell_length_b 4.8868
_cell_length_c 13.3411
_cell_angle_alpha 90.00
_cell_angle_beta 90.00
_cell_angle_gamma 90.00
loop_
_space_group_symop_operation_xyz
'x,y,z'
'-x,-y,z'
'-x,y,z'
'x,-y,z'
'x+1/2,y+1/2,z+1/2'
'-x+1/2,-y+1/2,z+1/2'
'-x+1/2,y+1/2,z+1/2'
'x+1/2,-y+1/2,z+1/2'
loop_
_atom_site_label
_atom_site_fract_x
_atom_site_fract_y
_atom_site_fract_z
_atom_site_occupancy
Re1 0.0000 0.0000 0.0000 1
Hg1 0.0000 0.0000 0.4835 1
Hg2 0.0000 0.5000 0.3142 1
Sb1 0.0000 0.5000 0.6675 1

Entry 3:
# AgSnPt PBE-GGA optimized geometry
# Raw total energy = -26.871 eV/cell
# Energy above the lowest structure with this stoichiometry = 64 meV per atom
data_AgSnPt
_space_group_name_H-M_alt 'I 4 m m'
_space_group_IT_number 107
_space_group_name_Hall 'I 4 -2'
_cell_length_a 3.5690
_cell_length_b 3.5690
_cell_length_c 8.8154
_cell_angle_alpha 90.00
_cell_angle_beta 90.00
_cell_angle_gamma 90.00
loop_
_atom_site_label
_atom_site_fract_x
_atom_site_fract_y
_atom_site_fract_z
_atom_site_occupancy
Ag1 0.0000 0.0000 0.0000 1
Sn1 0.0000 0.0000 0.6788 1
Pt1 0.0000 0.0000 0.3327 1

Question: What is the formula in the second record?
Answer: ReHg2Sb